1.
Entry from Alexandria: an optimized crystal structure of HfGa2Tc2 (GGA-PBE).

SG: P4/mbm (127)
E above lowest polymorph in meV per atom: 0.0
E_form in meV/atom: -298.8

Lattice parameters (Å, degrees): 7.033 7.033 3.201 90.00 90.00 90.00
Sites, in units of the cell vectors:
1 Hf 0.000 0.000 0.000
2 Hf 0.500 0.500 0.000
3 Ga 0.372 0.872 0.000
4 Ga 0.872 0.628 0.000
5 Ga 0.128 0.372 0.000
6 Ga 0.628 0.128 0.000
7 Tc 0.831 0.331 0.500
8 Tc 0.669 0.831 0.500
9 Tc 0.169 0.669 0.500
10 Tc 0.331 0.169 0.500

2.
Entry from Alexandria: an optimized crystal structure of Hf2Ga2Tc3 (GGA-PBE).

SG: C2/m (12)
E_form in meV/atom: -207.1

Lattice parameters (Å, degrees): 3.973 5.547 6.538 113.69 90.00 110.99
Sites, in units of the cell vectors:
1 Tc 0.646 0.291 0.219
2 Tc 0.354 0.709 0.781
3 Tc 0.000 0.000 0.000
4 Ga 0.102 0.204 0.444
5 Ga 0.898 0.796 0.556
6 Hf 0.349 0.698 0.210
7 Hf 0.651 0.302 0.790

3.
Entry from Alexandria: an optimized crystal structure of Hf5GaTc4 (GGA-PBE).

SG: P4/mmm (123)
E_form in meV/atom: -514.3

Lattice parameters (Å, degrees): 3.304 3.304 16.182 90.00 90.00 90.00
Sites, in units of the cell vectors:
1 Hf 0.500 0.500 0.500
2 Hf 0.500 0.500 0.895
3 Hf 0.500 0.500 0.301
4 Hf 0.500 0.500 0.699
5 Hf 0.500 0.500 0.105
6 Tc 0.000 0.000 0.196
7 Tc 0.000 0.000 0.601
8 Tc 0.000 0.000 0.804
9 Tc 0.000 0.000 0.399
10 Ga 0.000 0.000 0.000

4.
Entry from Alexandria: an optimized crystal structure of Hf2GaTc2 (GGA-PBE).

SG: P4/mbm (127)
E_form in meV/atom: -224.1

Lattice parameters (Å, degrees): 6.590 6.590 4.187 90.00 90.00 90.00
Sites, in units of the cell vectors:
1 Tc 0.869 0.631 0.000
2 Tc 0.631 0.131 0.000
3 Tc 0.369 0.869 0.000
4 Tc 0.131 0.369 0.000
5 Hf 0.820 0.320 0.500
6 Hf 0.320 0.180 0.500
7 Hf 0.680 0.820 0.500
8 Hf 0.180 0.680 0.500
9 Ga 0.000 0.000 0.000
10 Ga 0.500 0.500 0.000

5.
Entry from Alexandria: an optimized crystal structure of Hf12Ga6Tc (GGA-PBE).

SG: R-3 (148)
E_form in meV/atom: 67.5

Lattice parameters (Å, degrees): 7.609 7.609 7.609 99.12 99.12 99.12
Sites, in units of the cell vectors:
1 Hf 0.997 0.669 0.921
2 Hf 0.921 0.997 0.669
3 Hf 0.805 0.580 0.461
4 Hf 0.195 0.420 0.539
5 Hf 0.539 0.195 0.420
6 Hf 0.420 0.539 0.195
7 Hf 0.580 0.461 0.805
8 Hf 0.079 0.003 0.331
9 Hf 0.003 0.331 0.079
10 Hf 0.331 0.079 0.003
11 Hf 0.461 0.805 0.580
12 Hf 0.669 0.921 0.997
13 Ga 0.688 0.875 0.343
14 Ga 0.125 0.657 0.312
15 Ga 0.343 0.688 0.875
16 Ga 0.875 0.343 0.688
17 Ga 0.657 0.312 0.125
18 Ga 0.312 0.125 0.657
19 Tc 0.000 0.000 0.000

6.
Entry from Alexandria: an optimized crystal structure of Hf3Ga3Tc (GGA-PBE).

SG: C2/m (12)
E above lowest polymorph in meV per atom: 122.0
E_form in meV/atom: -365.3

Lattice parameters (Å, degrees): 5.598 5.598 8.508 90.74 90.74 104.47
Sites, in units of the cell vectors:
1 Ga 0.470 0.052 0.257
2 Ga 0.052 0.470 0.257
3 Ga 0.948 0.530 0.743
4 Ga 0.530 0.948 0.743
5 Ga 0.976 0.976 0.227
6 Ga 0.024 0.024 0.773
7 Hf 0.815 0.185 0.500
8 Hf 0.426 0.426 0.691
9 Hf 0.574 0.574 0.309
10 Hf 0.745 0.255 0.000
11 Hf 0.185 0.815 0.500
12 Hf 0.255 0.745 0.000
13 Tc 0.734 0.734 0.988
14 Tc 0.266 0.266 0.012

7.
Entry from Alexandria: an optimized crystal structure of HfGaTc3 (GGA-PBE).

SG: Pm-3m (221)
E above lowest polymorph in meV per atom: 827.8
E_form in meV/atom: 1785.7

Lattice parameters (Å, degrees): 4.783 4.783 4.783 90.00 90.00 90.00
Sites, in units of the cell vectors:
1 Ga 0.500 0.500 0.500
2 Tc 0.000 0.000 0.500
3 Tc 0.000 0.500 0.000
4 Tc 0.500 0.000 0.000
5 Hf 0.000 0.000 0.000

8.
Entry from Alexandria: an optimized crystal structure of Hf2Ga5Tc (GGA-PBE).

SG: I4/mmm (139)
E_form in meV/atom: -347.7

Lattice parameters (Å, degrees): 5.742 5.742 5.742 89.59 120.24 120.24
Sites, in units of the cell vectors:
1 Hf 0.500 0.778 0.278
2 Hf 0.500 0.278 0.778
3 Ga 0.500 0.278 0.278
4 Ga 0.000 0.278 0.278
5 Ga 0.000 0.278 0.778
6 Ga 0.000 0.778 0.278
7 Ga 0.500 0.778 0.778
8 Tc 0.000 0.778 0.778

9.
Entry from Alexandria: an optimized crystal structure of Hf2Ga4Tc (GGA-PBE).

SG: Fmm2 (42)
E above lowest polymorph in meV per atom: 0.0
E_form in meV/atom: -288.9

Lattice parameters (Å, degrees): 5.693 5.693 5.535 118.93 118.93 93.40
Sites, in units of the cell vectors:
1 Ga 0.785 0.714 0.000
2 Ga 0.286 0.215 0.000
3 Ga 0.787 0.715 0.502
4 Ga 0.285 0.213 0.498
5 Tc 0.786 0.214 0.000
6 Hf 0.286 0.714 0.500
7 Hf 0.786 0.214 0.500

10.
Entry from Alexandria: an optimized crystal structure of HfGa2Tc2 (GGA-PBE).

SG: P4/mbm (127)
E above lowest polymorph in meV per atom: 183.8
E_form in meV/atom: -115.0

Lattice parameters (Å, degrees): 7.170 7.170 3.156 90.00 90.00 90.00
Sites, in units of the cell vectors:
1 Tc 0.640 0.140 0.000
2 Tc 0.360 0.860 0.000
3 Tc 0.860 0.640 0.000
4 Tc 0.140 0.360 0.000
5 Hf 0.500 0.500 0.000
6 Hf 0.000 0.000 0.000
7 Ga 0.655 0.845 0.500
8 Ga 0.155 0.655 0.500
9 Ga 0.345 0.155 0.500
10 Ga 0.845 0.345 0.500

11.
Entry from Alexandria: an optimized crystal structure of Hf5Ga5Tc (GGA-PBE).

SG: C2/m (12)
E_form in meV/atom: -92.0

Lattice parameters (Å, degrees): 5.231 6.836 6.770 106.20 90.00 112.50
Sites, in units of the cell vectors:
1 Ga 0.172 0.344 0.306
2 Ga 0.828 0.656 0.694
3 Ga 0.819 0.638 0.084
4 Ga 0.500 0.000 0.000
5 Ga 0.181 0.362 0.916
6 Hf 0.678 0.356 0.325
7 Hf 0.000 0.000 0.500
8 Hf 0.401 0.801 0.295
9 Hf 0.599 0.199 0.705
10 Hf 0.322 0.644 0.675
11 Tc 0.000 0.000 0.000

12.
Entry from Alexandria: an optimized crystal structure of HfTiGaTc (GGA-PBE).

SG: P4mm (99)
E above lowest polymorph in meV per atom: 0.0
E_form in meV/atom: -531.3

Lattice parameters (Å, degrees): 3.259 3.259 6.296 90.00 90.00 90.00
Sites, in units of the cell vectors:
1 Ga 0.500 0.500 0.087
2 Tc 0.500 0.500 0.623
3 Ti 0.000 0.000 0.848
4 Hf 0.000 0.000 0.370

Number 1: D(E_F) 0.50 states/eV/atom. Number 2: D(E_F) 0.63 states/eV/atom. Number 3: D(E_F) 0.81 states/eV/atom. Number 4: D(E_F) 0.96 states/eV/atom. Number 5: D(E_F) 0.61 states/eV/atom. Number 6: D(E_F) 0.40 states/eV/atom. Number 7: D(E_F) 0.89 states/eV/atom. Number 8: D(E_F) 0.71 states/eV/atom. Number 9: D(E_F) 0.63 states/eV/atom. Number 10: D(E_F) 0.97 states/eV/atom. Number 11: D(E_F) 0.57 states/eV/atom. Number 12: D(E_F) 0.33 states/eV/atom.